# CaScFe2, optimized geometry, DFT PBE
data_CaScFe2
_cell_length_a 3.7244
_cell_length_b 3.7244
_cell_length_c 21.4471
_cell_angle_alpha 90.00
_cell_angle_beta 90.00
_cell_angle_gamma 120.00
_symmetry_space_group_name_H-M 'R 3 m'
_symmetry_Int_Tables_number 160
_symmetry_space_group_name_Hall 'R 3 -2"'
loop_
_atom_site_label
_atom_site_fract_x
_atom_site_fract_y
_atom_site_fract_z
Ca1 0.0000 0.0000 0.0000
Sc1 0.0000 0.0000 0.1851
Fe1 0.0000 0.0000 0.4338
Fe2 0.0000 0.0000 0.7736
# E_tot = -6.176 eV/atom
# Energy of formation from the pure elements = 3.19 kcal/mol of atoms
# Calculated density = 3.8 g/cm3